Crystalline K3Pm3SiS8 at its relaxed geometry. Source: Alexandria via LeMat-Bulk, functional PBE.

Computed properties:
raw formation energy: -1.500 eV per atom

abc: 8.0335 8.0335 22.5330
angles: 90.00 90.00 120.00
With the nearest neighbours (Å) after each atom.
Space group R-3m (No. 166, hexagonal axes)
One atom of each set of equivalent atoms:
K 0.0000 0.5000 0.0000 x9  6 S 3.20-3.23
Pm 0.0000 0.5000 0.5000 x9  6 S 2.79-2.85
Si 0.0000 0.0000 0.5000 x3  6 S 2.41
S 0.0000 0.0000 0.2358 x6  3 Pm 2.79
S 0.0483 0.5241 0.2275 x18  1 Si 2.41